{
  "formula": "Cs3Y3TaS8",
  "functional": "PBE",
  "state": "optimized geometry",
  "cell": [[7.9104, 0.0000, -0.0003], [-3.9551, 6.8521, -0.0273], [-0.0003, -4.5359, 8.2492]],
  "species": ["S", "S", "S", "Cs", "Ta", "S", "S", "Y", "Y", "Y", "S", "Cs", "Cs", "S", "S"],
  "fractional_positions": [[0.2496, 0.0382, 0.3269], [0.2114, 0.9618, 0.6730], [0.2722, 0.5444, 0.3167], [0.0000, 0.5000, 0.0000], [0.0000, 0.0000, 0.5000], [0.7278, 0.4556, 0.6833], [0.7504, 0.9618, 0.6731], [0.5000, 0.5000, 0.5000], [0.0000, 0.5000, 0.5000], [0.5000, 0.0000, 0.5000], [0.2115, 0.4229, 0.6731], [0.5000, 0.5000, 0.0000], [0.0000, 0.0000, 0.0000], [0.7886, 0.0382, 0.3270], [0.7885, 0.5771, 0.3269]],
  "rho_g_cm3": 4.1,
  "dft_energy_ev_per_atom": -6.0911,
  "volume_a3_per_cell": 446.1,
  "dos_ef_per_ev_fu": 4.459,
  "raw_formation_energy_ev_per_atom": -1.636,
  "space_group": "R-3m",
  "magmom_total_mub_per_fu": 1.0
}



{
  "formula": "LaNi3Ge",
  "functional": "PBE",
  "state": "optimized geometry",
  "cell": [[-2.8137, 3.7770, 0.5097], [0.4076, -0.3317, 4.7081], [3.7893, 2.8401, -0.1279]],
  "species": ["Ni", "Ni", "Ge", "La", "Ni"],
  "fractional_positions": [[0.0000, 0.0000, 0.5000], [0.0000, 0.5000, 0.0000], [0.5000, 0.5000, 0.5000], [0.0000, 0.0000, 0.0000], [0.5000, 0.0000, 0.0000]],
  "rho_g_cm3": 6.1,
  "dft_energy_ev_per_atom": -4.1736,
  "volume_a3_per_cell": 106.3,
  "e_above_lowest_polymorph_ev_per_atom": 1.396,
  "dos_ef_per_ev_fu": 3.902,
  "delta_e_f_ev_per_fu": 6.021,
  "space_group": "Pm-3m",
  "magmom_total_mub_per_fu": 0.0
}



{
  "formula": "Er4ScAs5",
  "functional": "PBE",
  "state": "optimized geometry",
  "cell": [[5.1604, 0.0000, 2.4890], [2.5802, 6.3934, 1.2445], [-0.1973, 0.0000, 7.0031]],
  "species": ["Er", "As", "Er", "Er", "Er", "As", "As", "As", "As", "Sc"],
  "fractional_positions": [[0.4029, 0.3980, 0.7982], [0.5011, 0.0000, 0.0000], [0.2012, 0.2018, 0.3980], [0.5992, 0.6020, 0.2018], [0.8009, 0.7982, 0.6020], [0.2949, 0.8043, 0.6080], [0.7072, 0.1957, 0.3920], [0.9029, 0.3920, 0.8043], [0.0992, 0.6080, 0.1957], [0.0008, 0.0000, 0.0000]],
  "rho_g_cm3": 7.7,
  "dft_energy_ev_per_atom": -6.2637,
  "volume_a3_per_cell": 234.2,
  "dos_ef_per_ev_fu": 0.886,
  "delta_e_f_ev_per_fu": -14.806,
  "space_group": "I4/m",
  "magmom_total_mub_per_fu": 0.0
}



{
  "formula": "LiAgF2",
  "functional": "PBE",
  "state": "optimized geometry",
  "cell": [[3.1624, 0.0000, 0.0000], [0.0000, 5.0835, 0.0000], [0.0000, 0.0000, 6.8351]],
  "species": ["F", "F", "Li", "Ag", "Ag", "F", "F", "Li"],
  "fractional_positions": [[0.0000, 0.1327, 0.1562], [0.0000, 0.6964, 0.4476], [0.5000, 0.5725, 0.5713], [0.0000, 0.6196, 0.1124], [0.5000, 0.1196, 0.8876], [0.5000, 0.6327, 0.8438], [0.5000, 0.1964, 0.5524], [0.0000, 0.0725, 0.4287]],
  "rho_g_cm3": 4.6,
  "dft_energy_ev_per_atom": -4.0607,
  "volume_a3_per_cell": 109.9,
  "e_above_lowest_polymorph_ev_per_atom": 0.024,
  "raw_formation_energy_ev_per_atom": -1.934,
  "space_group": "Pmn2_1",
  "magmom_total_mub_per_fu": 0.0
}



{
  "formula": "SrLaTe2",
  "functional": "PBE",
  "state": "optimized geometry",
  "cell": [[-0.4746, -6.5261, -3.3899], [3.4891, -3.1902, 5.6530], [-4.9232, -6.0908, 4.4048]],
  "species": ["Sr", "Te", "Te", "Sr", "Te", "Te", "La", "La"],
  "fractional_positions": [[0.5000, 0.5000, 0.0000], [0.3750, 0.3649, 0.7500], [0.8750, 0.8851, 0.7500], [0.2500, 0.7500, 0.5000], [0.1149, 0.6250, 0.2500], [0.6351, 0.1250, 0.2500], [0.0000, 0.0000, 0.0000], [0.7500, 0.2500, 0.5000]],
  "rho_g_cm3": 4.0,
  "dft_energy_ev_per_atom": -4.4341,
  "volume_a3_per_cell": 397.5,
  "e_above_lowest_polymorph_ev_per_atom": 0.448,
  "dos_ef_per_ev_fu": 2.837,
  "raw_formation_energy_ev_per_atom": -1.211,
  "space_group": "I-42d",
  "magmom_total_mub_per_fu": 1.0
}



{
  "formula": "Zn4TcCl",
  "functional": "PBE",
  "state": "optimized geometry",
  "cell": [[3.4984, -2.3309, 2.8918], [-0.0965, 0.5612, 5.0705], [-1.3498, -3.9192, 2.9753]],
  "species": ["Zn", "Zn", "Cl", "Zn", "Zn", "Tc"],
  "fractional_positions": [[0.6267, 0.6267, 0.6267], [0.1199, 0.6267, 0.6267], [0.2500, 0.2500, 0.2500], [0.6267, 0.6267, 0.1199], [0.6267, 0.1199, 0.6267], [0.0000, 0.0000, 0.0000]],
  "rho_g_cm3": 7.0,
  "dft_energy_ev_per_atom": -2.4944,
  "volume_a3_per_cell": 93.9,
  "dos_ef_per_ev_fu": 1.175,
  "raw_formation_energy_ev_per_atom": 0.390,
  "space_group": "F-43m",
  "magmom_total_mub_per_fu": 0.0
}



{
  "formula": "BaHoO2F",
  "functional": "PBE",
  "state": "optimized geometry",
  "cell": [[-0.6405, -4.2643, 0.9699], [4.3727, -0.6395, 0.0761], [0.0693, 1.0031, 4.4559]],
  "species": ["F", "Ho", "Ba", "O", "O"],
  "fractional_positions": [[0.0000, 0.0000, 0.4951], [0.0000, 0.0000, 0.0124], [0.5000, 0.5000, 0.6065], [0.0000, 0.5000, 0.9430], [0.5000, 0.0000, 0.9430]],
  "rho_g_cm3": 6.6,
  "dft_energy_ev_per_atom": -7.0266,
  "volume_a3_per_cell": 89.2,
  "dos_ef_per_ev_fu": 0.000,
  "raw_formation_energy_ev_per_atom": -3.369,
  "space_group": "P4mm",
  "magmom_total_mub_per_fu": 0.0
}



{
  "formula": "Al2BrCl",
  "functional": "PBE",
  "state": "optimized geometry",
  "cell": [[4.4070, -0.0079, -0.0105], [2.2084, 3.8137, -0.0105], [2.2044, 1.2682, 7.0607]],
  "species": ["Cl", "Al", "Al", "Br"],
  "fractional_positions": [[0.7500, 0.7500, 0.7500], [0.0009, 0.0009, 0.9873], [0.4991, 0.4991, 0.5127], [0.2500, 0.2500, 0.2500]],
  "rho_g_cm3": 2.4,
  "dft_energy_ev_per_atom": -2.9296,
  "volume_a3_per_cell": 118.9,
  "e_above_lowest_polymorph_ev_per_atom": 0.463,
  "dos_ef_per_ev_fu": 0.027,
  "raw_formation_energy_ev_per_atom": -0.178,
  "space_group": "C2/m",
  "magmom_total_mub_per_fu": 0.0
}



{
  "formula": "CaCu2Au",
  "functional": "PBE",
  "state": "optimized geometry",
  "cell": [[4.2521, -0.0021, -0.0054], [-2.0110, 5.0419, 0.1485], [0.2301, 1.4043, 3.6397]],
  "species": ["Cu", "Au", "Cu", "Ca"],
  "fractional_positions": [[0.0000, 0.0000, 0.0000], [0.0000, 0.5000, 0.5000], [0.5000, 0.0000, 0.5000], [0.5000, 0.5000, 0.0000]],
  "rho_g_cm3": 7.8,
  "dft_energy_ev_per_atom": -3.3340,
  "volume_a3_per_cell": 77.2,
  "e_above_lowest_polymorph_ev_per_atom": 0.311,
  "dos_ef_per_ev_fu": 1.512,
  "delta_e_f_ev_per_fu": 0.135,
  "space_group": "C2/m",
  "magmom_total_mub_per_fu": 0.0
}



{
  "formula": "Cd5Ag2Hg",
  "functional": "PBE",
  "state": "optimized geometry",
  "cell": [[5.7869, -0.3045, -1.7925], [-3.2166, 4.8197, -1.7940], [0.1697, 0.3001, 6.0562]],
  "species": ["Cd", "Cd", "Hg", "Cd", "Cd", "Cd", "Ag", "Ag"],
  "fractional_positions": [[0.7779, 0.2779, 0.0000], [0.2781, 0.7775, 0.0000], [0.7784, 0.7781, 0.0000], [0.2778, 0.2773, 0.0000], [0.2778, 0.2782, 0.5003], [0.7775, 0.7779, 0.4997], [0.2778, 0.7781, 0.5001], [0.7777, 0.2780, 0.4999]],
  "rho_g_cm3": 9.6,
  "dft_energy_ev_per_atom": -1.2987,
  "volume_a3_per_cell": 169.4,
  "e_above_lowest_polymorph_ev_per_atom": 0.000,
  "dos_ef_per_ev_fu": 3.044,
  "delta_e_f_ev_per_fu": 0.190,
  "space_group": "I4/mmm",
  "magmom_total_mub_per_fu": 0.0
}



{
  "formula": "ZrBiB2Se",
  "functional": "PBE",
  "state": "optimized geometry",
  "cell": [[4.4821, 0.0000, 0.0000], [0.0000, 5.9776, 0.0000], [0.0000, 0.0000, 4.4821]],
  "species": ["Se", "B", "Bi", "Zr", "B"],
  "fractional_positions": [[0.5000, 0.5000, 0.5000], [0.5000, 0.0000, 0.0000], [0.0000, 0.0000, 0.0000], [0.0000, 0.5000, 0.0000], [0.0000, 0.0000, 0.5000]],
  "rho_g_cm3": 5.5,
  "dft_energy_ev_per_atom": -4.1482,
  "volume_a3_per_cell": 120.1,
  "dos_ef_per_ev_fu": 3.628,
  "raw_formation_energy_ev_per_atom": 1.705,
  "space_group": "P4/mmm",
  "magmom_total_mub_per_fu": 0.0
}



{
  "formula": "LiMnS2Cl",
  "functional": "PBE",
  "state": "optimized geometry",
  "cell": [[4.2883, 0.0000, 0.0000], [0.0000, 4.2883, 0.0000], [0.0000, 0.0000, 5.1425]],
  "species": ["Mn", "Li", "S", "Cl", "S"],
  "fractional_positions": [[0.5000, 0.5000, 0.5000], [0.0000, 0.0000, 0.0000], [0.0000, 0.5000, 0.0000], [0.0000, 0.0000, 0.5000], [0.5000, 0.0000, 0.0000]],
  "rho_g_cm3": 2.8,
  "dft_energy_ev_per_atom": -4.1301,
  "volume_a3_per_cell": 94.6,
  "e_above_lowest_polymorph_ev_per_atom": 0.466,
  "dos_ef_per_ev_fu": 1.692,
  "raw_formation_energy_ev_per_atom": 0.107,
  "space_group": "P4/mmm",
  "magmom_total_mub_per_fu": 4.9
}